No. 1
VASP calculation (GGA-PBE) on a geometry-optimized Al2TlMo structure.

```
Al2TlMo
1.0
2.958 0.000 0.000
0.000 2.958 0.000
0.000 0.000 8.849
Al Tl Mo
2 1 1
direct
0.000 0.000 0.200
0.000 0.000 0.800
0.500 0.500 0.500
0.500 0.500 0.000
```

VASP energy: -4.973 eV per atom

***

No. 2
VASP calculation (GGA-PBE) on a geometry-optimized AlTlMo4 structure.

```
AlTlMo4
1.0
0.000 3.767 3.767
3.767 0.000 3.767
3.767 3.767 0.000
Al Tl Mo
1 1 4
direct
0.000 0.000 0.000
0.250 0.250 0.250
0.126 0.625 0.625
0.625 0.126 0.625
0.625 0.625 0.126
0.625 0.625 0.625
```

VASP energy: -7.728 eV per atom

***

No. 3
VASP calculation (GGA-PBE) on a geometry-optimized Al2TlMo structure.

```
Al2TlMo
1.0
0.000 3.294 3.294
3.294 0.000 3.294
3.294 3.294 0.000
Al Tl Mo
2 1 1
direct
0.250 0.250 0.250
0.750 0.750 0.750
0.000 0.000 0.000
0.500 0.500 0.500
```

VASP energy: -4.572 eV per atom

***

No. 4
VASP calculation (GGA-PBE) on a geometry-optimized Al2TlMo structure.

```
Al2TlMo
1.0
3.556 0.000 0.000
0.000 3.556 0.000
0.000 0.000 5.655
Al Tl Mo
2 1 1
direct
0.000 0.000 0.000
0.500 0.500 0.257
0.500 0.500 0.744
0.000 0.000 0.458
```

VASP energy: -4.935 eV per atom

***

No. 5
VASP calculation (GGA-PBE) on a geometry-optimized AlTlMo2 structure.

```
AlTlMo2
1.0
2.804 -4.361 0.000
2.804 4.361 0.000
0.000 0.000 2.838
Al Tl Mo
1 1 2
direct
0.000 0.000 0.000
0.500 0.500 0.000
0.000 0.500 0.500
0.500 0.000 0.500
```

VASP energy: -6.408 eV per atom

***

No. 6
VASP calculation (GGA-PBE) on a geometry-optimized AlTlMo2 structure.

```
AlTlMo2
1.0
3.246 0.000 0.000
0.000 3.246 0.000
0.000 0.000 6.806
Al Tl Mo
1 1 2
direct
0.000 0.000 0.000
0.500 0.500 0.697
0.000 0.000 0.409
0.500 0.500 0.203
```

VASP energy: -6.727 eV per atom

***

Q: Number 4 is which compound?
A: Al2TlMo